Entry 1:
Here is crystalline CaCuRh at its relaxed geometry from Alexandria. Energies are from PBE.

The structure in CIF format:
```
data_CaCuRh
_chemical_formula_sum 'Ca4 Cu4 Rh4'
_symmetry_space_group_name_H-M 'I m m a'
_symmetry_Int_Tables_number 74
_symmetry_space_group_name_Hall '-I 2b 2'
_cell_length_a 5.1685
_cell_length_b 5.4569
_cell_length_c 7.4638
_cell_angle_alpha 90.00
_cell_angle_beta 90.00
_cell_angle_gamma 90.00
loop_
_atom_site_label
_atom_site_fract_x
_atom_site_fract_y
_atom_site_fract_z
Ca1 0.0000 0.2500 0.1273
Cu1 0.2500 0.2500 0.7500
Rh1 0.0000 0.0000 0.5000
```

Summary:
Energy of formation from the pure elements   -1.05 eV per formula unit
Energy above the most stable polymorph in this dataset   0 meV/atom
Theoretical density   6.5 Mg/m³
Total energy   -4.832 eV per atom



Entry 2:
Here is crystalline Ca8CuRh2 at its relaxed geometry from Alexandria. Energies are from PBE.

The structure in CIF format:
```
data_Ca8CuRh2
_chemical_formula_sum 'Ca16 Cu2 Rh4'
_symmetry_space_group_name_H-M 'C 1 m 1'
_symmetry_Int_Tables_number 8
_cell_length_a 8.8303
_cell_length_b 13.0316
_cell_length_c 6.0539
_cell_angle_alpha 90.00
_cell_angle_beta 106.92
_cell_angle_gamma 90.00
loop_
_symmetry_equiv_pos_as_xyz
'x,y,z'
'x,-y,z'
'x+1/2,y+1/2,z'
'x+1/2,-y+1/2,z'
loop_
_atom_site_label
_atom_site_fract_x
_atom_site_fract_y
_atom_site_fract_z
Ca1 0.0000 0.0000 0.0000
Ca2 0.0780 0.3647 0.8058
Ca3 0.1702 0.1347 0.6207
Ca4 0.2435 0.5000 0.4037
Ca5 0.3772 0.2258 0.2090
Cu1 0.3774 0.0000 0.0389
Rh1 0.3713 0.3135 0.7027
```

Summary:
Energy of formation from the pure elements   -2.22 eV per formula unit
Theoretical density   2.9 Mg/m³
Total energy   -3.367 eV per atom



Entry 3:
Here is crystalline Ca2CuSb3Rh4 at its relaxed geometry from Alexandria. Energies are from PBE.

The structure in CIF format:
```
data_Ca2CuSb3Rh4
_chemical_formula_sum 'Ca2 Cu1 Sb3 Rh4'
_symmetry_space_group_name_H-M 'P -4 m 2'
_symmetry_Int_Tables_number 115
_cell_length_a 4.2950
_cell_length_b 4.2950
_cell_length_c 11.0944
_cell_angle_alpha 90.00
_cell_angle_beta 90.00
_cell_angle_gamma 90.00
loop_
_symmetry_equiv_pos_as_xyz
'x,y,z'
'y,-x,-z'
'-x,-y,z'
'-y,x,-z'
'-x,y,z'
'-y,-x,-z'
'x,-y,z'
'y,x,-z'
loop_
_atom_site_label
_atom_site_fract_x
_atom_site_fract_y
_atom_site_fract_z
Ca1 0.0000 0.5000 0.2347
Cu1 0.5000 0.5000 0.0000
Sb1 0.0000 0.0000 0.0000
Sb2 0.0000 0.5000 0.6362
Rh1 0.0000 0.0000 0.5000
Rh2 0.0000 0.5000 0.8673
Rh3 0.5000 0.5000 0.5000
```

Summary:
Raw formation energy   -0.61 eV/atom
Theoretical density   7.5 Mg/m³
Total energy   -5.599 eV per atom



Entry 4:
Here is crystalline Ca2Cu3Sb4Rh at its relaxed geometry from Alexandria. Energies are from PBE.

The structure in CIF format:
```
data_Ca2Cu3Sb4Rh
_chemical_formula_sum 'Ca2 Cu3 Sb4 Rh1'
_symmetry_space_group_name_H-M 'P -4 m 2'
_symmetry_Int_Tables_number 115
_cell_length_a 4.5506
_cell_length_b 4.5506
_cell_length_c 10.6398
_cell_angle_alpha 90.00
_cell_angle_beta 90.00
_cell_angle_gamma 90.00
loop_
_symmetry_equiv_pos_as_xyz
'x,y,z'
'y,-x,-z'
'-x,-y,z'
'-y,x,-z'
'-x,y,z'
'-y,-x,-z'
'x,-y,z'
'y,x,-z'
loop_
_atom_site_label
_atom_site_fract_x
_atom_site_fract_y
_atom_site_fract_z
Ca1 0.0000 0.5000 0.2316
Cu1 0.0000 0.0000 0.0000
Cu2 0.0000 0.5000 0.6343
Sb1 0.0000 0.0000 0.5000
Sb2 0.0000 0.5000 0.8723
Sb3 0.5000 0.5000 0.5000
Rh1 0.5000 0.5000 0.0000
```

Summary:
Raw formation energy   -0.42 eV/atom
Theoretical density   6.5 Mg/m³
Total energy   -4.430 eV per atom



Entry 5:
Here is crystalline CaScCuRh at its relaxed geometry from Alexandria. Energies are from PBE.

The structure in CIF format:
```
data_CaScCuRh
_chemical_formula_sum 'Ca4 Sc4 Cu4 Rh4'
_symmetry_space_group_name_H-M 'F -4 3 m'
_symmetry_Int_Tables_number 216
_symmetry_space_group_name_Hall 'F -4 2 3'
_cell_length_a 6.7000
_cell_length_b 6.7000
_cell_length_c 6.7000
_cell_angle_alpha 90.00
_cell_angle_beta 90.00
_cell_angle_gamma 90.00
loop_
_atom_site_label
_atom_site_fract_x
_atom_site_fract_y
_atom_site_fract_z
Ca1 0.0000 0.0000 0.0000
Sc1 0.0000 0.0000 0.5000
Cu1 0.2500 0.2500 0.2500
Rh1 0.2500 0.2500 0.7500
```

Summary:
Energy of formation from the pure elements   -1.46 eV per formula unit
Theoretical density   5.6 Mg/m³
Total energy   -5.311 eV per atom



Entry 6:
Here is crystalline Ca2CuSi4Rh3 at its relaxed geometry from Alexandria. Energies are from PBE.

The structure in CIF format:
```
data_Ca2CuSi4Rh3
_chemical_formula_sum 'Ca2 Cu1 Si4 Rh3'
_symmetry_space_group_name_H-M 'P -4 m 2'
_symmetry_Int_Tables_number 115
_cell_length_a 4.1621
_cell_length_b 4.1621
_cell_length_c 9.8022
_cell_angle_alpha 90.00
_cell_angle_beta 90.00
_cell_angle_gamma 90.00
loop_
_symmetry_equiv_pos_as_xyz
'x,y,z'
'y,-x,-z'
'-x,-y,z'
'-y,x,-z'
'-x,y,z'
'-y,-x,-z'
'x,-y,z'
'y,x,-z'
loop_
_atom_site_label
_atom_site_fract_x
_atom_site_fract_y
_atom_site_fract_z
Ca1 0.0000 0.5000 0.2499
Cu1 0.0000 0.0000 0.5000
Si1 0.0000 0.0000 0.0000
Si2 0.0000 0.5000 0.6256
Si3 0.5000 0.5000 0.0000
Rh1 0.0000 0.5000 0.8734
Rh2 0.5000 0.5000 0.5000
```

Summary:
Raw formation energy   -0.73 eV/atom
Theoretical density   5.5 Mg/m³
Total energy   -5.916 eV per atom



Entry 7:
Here is crystalline Ca2CuSi2Rh5 at its relaxed geometry from Alexandria. Energies are from PBE.

The structure in CIF format:
```
data_Ca2CuSi2Rh5
_chemical_formula_sum 'Ca4 Cu2 Si4 Rh10'
_symmetry_space_group_name_H-M 'P 4/m b m'
_symmetry_Int_Tables_number 127
_symmetry_space_group_name_Hall '-P 4 2ab'
_cell_length_a 10.0162
_cell_length_b 10.0162
_cell_length_c 3.2043
_cell_angle_alpha 90.00
_cell_angle_beta 90.00
_cell_angle_gamma 90.00
loop_
_atom_site_label
_atom_site_fract_x
_atom_site_fract_y
_atom_site_fract_z
Ca1 0.1730 0.3270 0.0000
Cu1 0.0000 0.0000 0.0000
Si1 0.1291 0.6291 0.0000
Rh1 0.0000 0.5000 0.5000
Rh2 0.0664 0.7928 0.5000
```

Summary:
Raw formation energy   -0.63 eV/atom
Theoretical density   7.4 Mg/m³
Total energy   -6.204 eV per atom



Entry 8:
Here is crystalline CaSmCuRh at its relaxed geometry from Alexandria. Energies are from PBE.

The structure in CIF format:
```
data_CaSmCuRh
_chemical_formula_sum 'Ca4 Sm4 Cu4 Rh4'
_symmetry_space_group_name_H-M 'F -4 3 m'
_symmetry_Int_Tables_number 216
_symmetry_space_group_name_Hall 'F -4 2 3'
_cell_length_a 6.9977
_cell_length_b 6.9977
_cell_length_c 6.9977
_cell_angle_alpha 90.00
_cell_angle_beta 90.00
_cell_angle_gamma 90.00
loop_
_atom_site_label
_atom_site_fract_x
_atom_site_fract_y
_atom_site_fract_z
Ca1 0.0000 0.0000 0.0000
Sm1 0.0000 0.0000 0.5000
Cu1 0.2500 0.2500 0.7500
Rh1 0.2500 0.2500 0.2500
```

Summary:
Energy of formation from the pure elements   -1.44 eV per formula unit
Energy above the most stable polymorph in this dataset   68 meV/atom
Theoretical density   6.9 Mg/m³
Total energy   -4.901 eV per atom



- Among the records above, which one has the lowest theoretical density?
  Ca8CuRh2



- Among the records above, which one has the highest theoretical density?
  Ca2CuSb3Rh4



- The highest total energy belongs to which entry?
  Ca8CuRh2



- The lowest total energy belongs to which entry?
  Ca2CuSi2Rh5